The following is a DFT calculation (GGA+U) of a geometry-optimized TaMnO4 structure.

Calculated values
For the total energy, the calculation gives -106.057 eV for the cell shown. As for the space group: C2/m. As for the spin magnetization: 8.0 μB per cell.

Cell: 3.869 6.910 6.599 Å, 108.52 90.00 106.26°
Each line ends with the local moment (μB).
Atoms (fractional coordinates):
O 0.371 0.742 0.301  0.02
O 0.629 0.258 0.699  0.02
O 0.857 0.715 0.982  -0.03
O 0.143 0.285 0.018  -0.03
O 0.950 0.901 0.637  0.01
O 0.251 0.502 0.637  -0.07
O 0.050 0.099 0.363  0.01
O 0.749 0.498 0.363  -0.07
Ta 0.899 0.797 0.278  0.05
Ta 0.101 0.203 0.722  0.05
Mn 0.197 0.395 0.318  3.90
Mn 0.803 0.605 0.682  3.90